First-principles (GGA+U) data for a geometry-optimized BaPrEuWO6 structure, as listed in the Alexandria database.

Cell lengths 6.019, 6.091, 8.619 Å; angles 90.31, 90.36, 90.64 degrees
Atoms (fractional coordinates):
Ba  0.006  0.033  0.251
Ba  0.994  0.967  0.749
Pr  0.000  0.500  0.500
Pr  0.500  0.000  0.000
Eu  0.492  0.539  0.253
Eu  0.508  0.461  0.747
W  0.000  0.500  0.000
W  0.500  0.000  0.500
O  0.099  0.508  0.770
O  0.191  0.760  0.042
O  0.232  0.813  0.468
O  0.271  0.309  0.052
O  0.320  0.280  0.450
O  0.437  0.046  0.730
O  0.563  0.954  0.270
O  0.680  0.720  0.550
O  0.729  0.691  0.948
O  0.768  0.187  0.532
O  0.809  0.240  0.958
O  0.901  0.492  0.230

crystal system = triclinic
energy above the most stable polymorph in this dataset = 0.000 eV per atom
magnetization = 8.00 μB/f.u.